Computed, not measured: a relaxed HfTiZn2F crystal at the PBE level of DFT.

a = 5.036 Å, b = 5.036 Å, c = 3.711 Å
α = 90.00°, β = 90.00°, γ = 90.00°
Space group P4/mmm (No. 123)
One atom of each set of equivalent atoms:
Hf  0.000  0.000  0.000 (multiplicity 1)
Ti  0.500  0.500  0.500 (multiplicity 1)
Zn  0.000  0.500  0.500 (multiplicity 2)
F  0.500  0.500  0.000 (multiplicity 1)

Computed properties:
- Volume: 94 Å³/cell
- Formation energy (no corrections): -0.23 eV per atom